# PBE CoIr2Os, relaxed
data_CoIr2Os
_cell_length_a 4.658
_cell_length_b 4.658
_cell_length_c 4.658
_cell_angle_alpha 132.22
_cell_angle_beta 132.22
_cell_angle_gamma 69.89
_space_group_name_H-M_alt 'P 1'
_space_group_IT_number 1
_space_group_name_Hall 'P 1'
loop_
_atom_site_label
_atom_site_fract_x
_atom_site_fract_y
_atom_site_fract_z
Ir1 0.250 0.750 0.500
Ir2 0.000 0.000 0.000
Co1 0.750 0.250 0.500
Os1 0.500 0.500 0.000
# * formation enthalpy at 0 K: 0.0751 eV/atom
# * raw total energy: -8.94 eV/atom
# * excess energy over the best structure of this formula in the dataset: 21 kJ/mol of formula units

---

# PBE BaHf2SiBr, relaxed
data_BaHf2SiBr
_cell_length_a 5.651
_cell_length_b 5.665
_cell_length_c 5.651
_cell_angle_alpha 90.00
_cell_angle_beta 90.00
_cell_angle_gamma 90.00
_space_group_name_H-M_alt 'P 1'
_space_group_IT_number 1
_space_group_name_Hall 'P 1'
loop_
_atom_site_label
_atom_site_fract_x
_atom_site_fract_y
_atom_site_fract_z
Hf1 0.000 0.000 0.500
Ba1 0.000 0.000 0.000
Si1 0.500 0.500 0.500
Hf2 0.500 0.000 0.000
Br1 0.000 0.500 0.000
# * raw total energy: -3.81 eV/atom
# * ΔE_f (raw): 1975 meV per atom

---

# PBE CrGaFe3, relaxed
data_CrGaFe3
_cell_length_a 4.231
_cell_length_b 4.231
_cell_length_c 4.231
_cell_angle_alpha 90.00
_cell_angle_beta 90.00
_cell_angle_gamma 90.00
_space_group_name_H-M_alt 'P 1'
_space_group_IT_number 1
_space_group_name_Hall 'P 1'
loop_
_atom_site_label
_atom_site_fract_x
_atom_site_fract_y
_atom_site_fract_z
Fe1 0.500 0.000 0.000
Cr1 0.000 0.000 0.000
Fe2 0.000 0.500 0.000
Ga1 0.500 0.500 0.500
Fe3 0.000 0.000 0.500
# * formation enthalpy at 0 K: 1.0617 eV/atom
# * raw total energy: -6.55 eV/atom
# * excess energy over the best structure of this formula in the dataset: 0 kJ/mol of formula units

---

# PBE BeSb2Te, relaxed
data_BeSb2Te
_cell_length_a 3.984
_cell_length_b 5.140
_cell_length_c 5.141
_cell_angle_alpha 67.08
_cell_angle_beta 90.00
_cell_angle_gamma 90.00
_space_group_name_H-M_alt 'P 1'
_space_group_IT_number 1
_space_group_name_Hall 'P 1'
loop_
_atom_site_label
_atom_site_fract_x
_atom_site_fract_y
_atom_site_fract_z
Sb1 0.000 0.556 0.557
Sb2 0.000 0.944 0.943
Te1 0.500 0.250 0.250
Be1 0.500 0.750 0.750
# * raw total energy: -3.58 eV/atom
# * excess energy over the best structure of this formula in the dataset: 43 kJ/mol of formula units
# * ΔE_f (raw): 200 meV per atom

---

# PBE RbMnPb2, relaxed
data_RbMnPb2
_cell_length_a 5.543
_cell_length_b 5.543
_cell_length_c 5.543
_cell_angle_alpha 60.00
_cell_angle_beta 60.00
_cell_angle_gamma 60.00
_space_group_name_H-M_alt 'P 1'
_space_group_IT_number 1
_space_group_name_Hall 'P 1'
loop_
_atom_site_label
_atom_site_fract_x
_atom_site_fract_y
_atom_site_fract_z
Rb1 0.500 0.500 0.500
Pb1 0.750 0.750 0.750
Mn1 0.000 0.000 0.000
Pb2 0.250 0.250 0.250
# * formation enthalpy at 0 K: 0.4455 eV/atom
# * raw total energy: -3.94 eV/atom
# * excess energy over the best structure of this formula in the dataset: 38 kJ/mol of formula units

---

# PBE Dy2NpCuO8, relaxed
data_Dy2NpCuO8
_cell_length_a 4.053
_cell_length_b 5.215
_cell_length_c 7.443
_cell_angle_alpha 98.86
_cell_angle_beta 86.65
_cell_angle_gamma 98.34
_space_group_name_H-M_alt 'P 1'
_space_group_IT_number 1
_space_group_name_Hall 'P 1'
loop_
_atom_site_label
_atom_site_fract_x
_atom_site_fract_y
_atom_site_fract_z
Dy1 0.477 0.548 0.270
O1 0.435 0.229 0.982
O2 0.039 0.816 0.263
O3 0.929 0.289 0.185
O4 0.565 0.771 0.018
O5 0.355 0.254 0.462
O6 0.961 0.184 0.737
Cu1 0.000 0.000 0.500
O7 0.071 0.711 0.815
Np1 0.000 0.000 0.000
Dy2 0.523 0.452 0.730
O8 0.645 0.746 0.538
# * raw total energy: -7.99 eV/atom
# * ΔE_f (raw): -2501 meV per atom

---

# PBE HgH2Pd4, relaxed
data_HgH2Pd4
_cell_length_a 5.603
_cell_length_b 4.998
_cell_length_c 7.153
_cell_angle_alpha 110.81
_cell_angle_beta 106.66
_cell_angle_gamma 90.13
_space_group_name_H-M_alt 'P 1'
_space_group_IT_number 1
_space_group_name_Hall 'P 1'
loop_
_atom_site_label
_atom_site_fract_x
_atom_site_fract_y
_atom_site_fract_z
H1 0.672 0.193 0.186
H2 0.653 0.530 0.873
Pd1 0.963 0.089 0.335
Pd2 0.758 0.501 0.132
H3 0.201 0.521 0.862
Pd3 0.870 0.445 0.723
Pd4 0.464 0.247 0.341
Pd5 0.366 0.275 0.716
Pd6 0.553 0.892 0.923
Hg1 0.164 0.679 0.517
Hg2 0.057 0.063 0.947
Pd7 0.670 0.849 0.538
Pd8 0.263 0.656 0.138
H4 0.596 0.811 0.271
# * raw total energy: -4.07 eV/atom
# * excess energy over the best structure of this formula in the dataset: 8 kJ/mol of formula units

---

# PBE LaB3Pd, relaxed
data_LaB3Pd
_cell_length_a 4.209
_cell_length_b 4.209
_cell_length_c 4.209
_cell_angle_alpha 90.00
_cell_angle_beta 90.00
_cell_angle_gamma 90.00
_space_group_name_H-M_alt 'P 1'
_space_group_IT_number 1
_space_group_name_Hall 'P 1'
loop_
_atom_site_label
_atom_site_fract_x
_atom_site_fract_y
_atom_site_fract_z
B1 0.000 0.500 0.000
La1 0.500 0.500 0.500
B2 0.000 0.000 0.500
Pd1 0.000 0.000 0.000
B3 0.500 0.000 0.000
# * formation enthalpy at 0 K: 0.6693 eV/atom
# * raw total energy: -5.36 eV/atom
# * excess energy over the best structure of this formula in the dataset: 0 kJ/mol of formula units

---

# PBE FeTe2Pb, relaxed
data_FeTe2Pb
_cell_length_a 3.252
_cell_length_b 3.252
_cell_length_c 9.705
_cell_angle_alpha 90.00
_cell_angle_beta 90.00
_cell_angle_gamma 90.00
_space_group_name_H-M_alt 'P 1'
_space_group_IT_number 1
_space_group_name_Hall 'P 1'
loop_
_atom_site_label
_atom_site_fract_x
_atom_site_fract_y
_atom_site_fract_z
Fe1 0.000 0.000 0.476
Te1 0.500 0.500 0.345
Pb1 0.500 0.500 0.686
Te2 0.000 0.000 0.993
# * raw total energy: -4.43 eV/atom
# * ΔE_f (raw): 184 meV per atom

---

# PBE HgBHF2, relaxed
data_HgBHF2
_cell_length_a 4.432
_cell_length_b 3.391
_cell_length_c 4.432
_cell_angle_alpha 90.00
_cell_angle_beta 90.00
_cell_angle_gamma 90.00
_space_group_name_H-M_alt 'P 1'
_space_group_IT_number 1
_space_group_name_Hall 'P 1'
loop_
_atom_site_label
_atom_site_fract_x
_atom_site_fract_y
_atom_site_fract_z
F1 0.000 0.000 0.500
Hg1 0.000 0.500 0.000
F2 0.500 0.000 0.000
H1 0.000 0.000 0.000
B1 0.500 0.500 0.500
# * raw total energy: -2.46 eV/atom

---

# PBE BeCuP2O, relaxed
data_BeCuP2O
_cell_length_a 4.678
_cell_length_b 4.678
_cell_length_c 3.446
_cell_angle_alpha 90.00
_cell_angle_beta 90.00
_cell_angle_gamma 90.00
_space_group_name_H-M_alt 'P 1'
_space_group_IT_number 1
_space_group_name_Hall 'P 1'
loop_
_atom_site_label
_atom_site_fract_x
_atom_site_fract_y
_atom_site_fract_z
Be1 0.500 0.500 0.500
P1 0.500 0.000 0.000
Cu1 0.000 0.000 0.000
P2 0.000 0.500 0.000
O1 0.000 0.000 0.500
# * raw total energy: -3.94 eV/atom
# * excess energy over the best structure of this formula in the dataset: 382 kJ/mol of formula units
# * ΔE_f (raw): 784 meV per atom

---

# PBE CdIn12Ga7, relaxed
data_CdIn12Ga7
_cell_length_a 6.985
_cell_length_b 9.394
_cell_length_c 9.394
_cell_angle_alpha 65.93
_cell_angle_beta 75.65
_cell_angle_gamma 104.35
_space_group_name_H-M_alt 'P 1'
_space_group_IT_number 1
_space_group_name_Hall 'P 1'
loop_
_atom_site_label
_atom_site_fract_x
_atom_site_fract_y
_atom_site_fract_z
In1 0.866 0.378 0.696
In2 0.134 0.622 0.304
In3 0.021 0.810 0.656
In4 0.324 0.344 0.466
In5 0.979 0.190 0.344
Ga1 0.889 0.063 0.714
Ga2 0.500 0.000 0.000
Ga3 0.603 0.714 0.223
In6 0.488 0.926 0.378
Ga4 0.174 0.777 0.937
Cd1 0.000 0.000 0.000
In7 0.562 0.696 0.926
Ga5 0.397 0.286 0.777
In8 0.438 0.304 0.074
Ga6 0.111 0.937 0.286
In9 0.512 0.074 0.622
In10 0.789 0.466 0.190
In11 0.676 0.656 0.534
In12 0.211 0.534 0.810
Ga7 0.826 0.223 0.063
# * formation enthalpy at 0 K: 0.0647 eV/atom
# * raw total energy: -2.68 eV/atom
# * excess energy over the best structure of this formula in the dataset: 27 kJ/mol of formula units